Density functional theory data (PBE-GGA) for a relaxed ErThTe4 crystal.

Results
- SG: P2_1/c (14)
- Magnetization: 0.000 Bohr magnetons per cell
- ΔE_f (raw): -0.944 eV/atom
- Density: 6956 kg/m³
- Final energy: -5.035 eV/atom

Structure (POSCAR):
```
ErThTe4
1.0
-3.768 -2.910 -5.921
6.509 -1.115 -3.594
0.688 -6.798 3.354
Er Th Te
2 2 8
direct
0.500 0.000 0.500
0.000 0.500 0.500
0.000 0.000 0.000
0.500 0.500 0.000
0.858 0.643 0.150
0.642 0.143 0.850
0.361 0.365 0.368
0.139 0.865 0.632
0.142 0.357 0.850
0.358 0.857 0.150
0.639 0.635 0.632
0.861 0.135 0.368
```